Record 1
The following is a GGA-PBE calculation of an optimized crystal structure of ZnNiGeRu, from the Alexandria database. Values from VASP.

Quantum ESPRESSO input file:
```
&SYSTEM
  ibrav = 0, nat = 4, ntyp = 4
/
ATOMIC_SPECIES
Zn 65.41 Zn.upf
Ni 58.69 Ni.upf
Ge 72.64 Ge.upf
Ru 101.07 Ru.upf
ATOMIC_POSITIONS crystal
Zn 0.000 0.000 0.000
Ni 0.500 0.500 0.000
Ge 0.000 0.500 0.500
Ru 0.500 0.000 0.500
CELL_PARAMETERS angstrom
3.069 0.000 0.000
0.000 4.091 0.000
0.000 0.000 4.202
```

Properties
As for the symmetry: Pmmm. The formation energy comes out at -0.786 eV per formula unit. As for the distance to the lowest polymorph of the same formula: 0.000 eV/atom.

***

Record 2
The following is a GGA-PBE calculation of an optimized crystal structure of LaHg2Cl, from the Alexandria database. Values from VASP.

Quantum ESPRESSO input file:
```
&SYSTEM
  ibrav = 0, nat = 4, ntyp = 3
/
ATOMIC_SPECIES
La 138.91 La.upf
Hg 200.59 Hg.upf
Cl 35.45 Cl.upf
ATOMIC_POSITIONS crystal
La 0.000 0.000 0.000
Hg 0.000 0.500 0.500
Hg 0.500 0.000 0.500
Cl 0.500 0.500 0.000
CELL_PARAMETERS angstrom
3.795 0.000 0.000
0.000 4.701 0.000
0.000 0.000 5.854
```

Properties
As for the symmetry: Pmmm. As for the distance to the lowest polymorph of the same formula: 0.012 eV/atom.

***

Record 3
The following is a GGA-PBE calculation of an optimized crystal structure of LuPaOs2, from the Alexandria database. Values from VASP.

Quantum ESPRESSO input file:
```
&SYSTEM
  ibrav = 0, nat = 4, ntyp = 3
/
ATOMIC_SPECIES
Lu 174.97 Lu.upf
Pa 231.04 Pa.upf
Os 190.23 Os.upf
ATOMIC_POSITIONS crystal
Lu 0.000 0.000 0.000
Pa 0.500 0.500 0.000
Os 0.000 0.500 0.500
Os 0.500 0.000 0.500
CELL_PARAMETERS angstrom
4.770 0.000 0.000
0.000 4.770 0.000
0.000 0.000 3.448
```

Properties
As for the symmetry: P4/mmm. The formation energy comes out at -1.398 eV per formula unit. As for the distance to the lowest polymorph of the same formula: 0.000 eV/atom.

***

no.,density (g/cm3),V (Å³ per cell),magnetic moment (μB per formula unit)
1,9.4,52.8,0.00
2,9.2,104.4,0.00
3,16.6,78.5,0.00